Record 1
Material: NiPOs
Method: DFT, PBE
State: optimized geometry

Structure (POSCAR):
```
NiPOs
1.0
3.884 0.000 0.000
-1.942 3.364 0.000
0.000 0.000 2.968
Ni P Os
1 1 1
direct
0.000 0.000 0.000 Ni
0.333 0.667 0.665 P
0.667 0.333 0.509 Os
```

DOS(E_F): 2.16 states/eV per cell
magnetic moment: 0.00 μB/cell
calculated total energy: -7.52 eV/atom
energy of formation from the pure elements: -0.05 eV/atom
symmetry: No. 156


Record 2
Material: CaBeCl2
Method: DFT, PBE
State: optimized geometry

Structure (POSCAR):
```
CaBeCl2
1.0
-1.747 3.927 4.680
1.747 -3.927 4.680
1.747 3.927 -4.680
Ca Be Cl
1 1 2
direct
0.000 0.000 0.000 Ca
0.742 0.242 0.500 Be
0.210 0.710 0.500 Cl
0.609 0.609 0.000 Cl
```

DOS(E_F): 0.00 states/eV per cell
magnetic moment: 0.00 μB/cell
formation energy without anion corrections: -0.89 eV per atom
calculated total energy: -3.24 eV/atom
excess energy over the best structure of this formula in the dataset: 161.5 meV per atom
symmetry: No. 44


Record 3
Material: Ta2SbCl
Method: DFT, PBE
State: optimized geometry

Structure (POSCAR):
```
Ta2SbCl
1.0
1.565 0.904 10.774
-1.565 0.904 10.774
0.000 -1.808 10.774
Ta Sb Cl
2 1 1
direct
0.000 0.000 0.000 Ta
0.258 0.258 0.258 Ta
0.519 0.519 0.519 Sb
0.721 0.721 0.721 Cl
```

DOS(E_F): 3.67 states/eV per cell
magnetic moment: 0.00 μB/cell
formation energy without anion corrections: -0.21 eV per atom
calculated total energy: -7.63 eV/atom
excess energy over the best structure of this formula in the dataset: 0.0 meV per atom
symmetry: No. 160


Record 4
Material: Tb2PmPr8
Method: DFT, PBE
State: optimized geometry

Structure (POSCAR):
```
Tb2PmPr8
1.0
8.572 -3.437 0.000
8.572 3.437 0.000
-1.180 0.000 6.676
Tb Pm Pr
2 1 8
direct
0.198 0.198 0.309 Tb
0.802 0.802 0.691 Tb
0.000 0.000 0.500 Pm
0.174 0.651 0.091 Pr
0.245 0.245 0.820 Pr
0.349 0.826 0.909 Pr
0.405 0.405 0.584 Pr
0.595 0.595 0.416 Pr
0.651 0.174 0.091 Pr
0.755 0.755 0.180 Pr
0.826 0.349 0.909 Pr
```

DOS(E_F): 18.38 states/eV per cell
magnetic moment: 0.00 μB/cell
calculated total energy: -4.59 eV/atom
energy of formation from the pure elements: 0.16 eV/atom
symmetry: No. 12


Record 5
Material: PrSm12Ho7
Method: DFT, PBE
State: optimized geometry

Structure (POSCAR):
```
PrSm12Ho7
1.0
-5.739 5.739 5.739
5.739 -5.739 5.739
5.739 5.739 -5.739
Pr Sm Ho
1 12 7
direct
0.000 0.000 0.000 Pr
0.001 0.746 0.255 Sm
0.254 0.255 0.509 Sm
0.254 0.745 0.999 Sm
0.255 0.001 0.746 Sm
0.255 0.509 0.254 Sm
0.491 0.746 0.745 Sm
0.509 0.254 0.255 Sm
0.745 0.491 0.746 Sm
0.745 0.999 0.254 Sm
0.746 0.255 0.001 Sm
0.746 0.745 0.491 Sm
0.999 0.254 0.745 Sm
0.000 0.000 0.500 Ho
0.000 0.500 0.000 Ho
0.000 0.500 0.500 Ho
0.500 0.000 0.000 Ho
0.500 0.000 0.500 Ho
0.500 0.500 0.000 Ho
0.500 0.500 0.500 Ho
```

DOS(E_F): 25.81 states/eV per cell
magnetic moment: 0.00 μB/cell
calculated total energy: -4.00 eV/atom
excess energy over the best structure of this formula in the dataset: 573.8 meV per atom
energy of formation from the pure elements: 0.68 eV/atom
symmetry: No. 204


Record 6
Material: ReH2W
Method: DFT, PBE
State: optimized geometry

Structure (POSCAR):
```
ReH2W
1.0
0.000 2.676 2.676
2.676 0.000 2.676
2.676 2.676 0.000
Re H W
1 2 1
direct
0.000 0.000 0.000 Re
0.250 0.250 0.250 H
0.750 0.750 0.750 H
0.500 0.500 0.500 W
```

DOS(E_F): 1.72 states/eV per cell
magnetic moment: 0.00 μB/cell
calculated total energy: -6.99 eV/atom
excess energy over the best structure of this formula in the dataset: 715.3 meV per atom
symmetry: No. 225


Record 7
Material: Tl2Ir2F
Method: DFT, PBE
State: optimized geometry

Structure (POSCAR):
```
Tl2Ir2F
1.0
7.933 0.000 0.000
0.000 7.933 0.000
0.000 0.000 3.086
Tl Ir F
4 4 2
direct
0.185 0.315 0.000 Tl
0.315 0.815 0.000 Tl
0.685 0.185 0.000 Tl
0.815 0.685 0.000 Tl
0.114 0.614 0.500 Ir
0.386 0.114 0.500 Ir
0.614 0.886 0.500 Ir
0.886 0.386 0.500 Ir
0.000 0.000 0.500 F
0.500 0.500 0.500 F
```

DOS(E_F): 9.92 states/eV per cell
magnetic moment: 2.31 μB/cell
formation energy without anion corrections: 0.25 eV per atom
calculated total energy: -4.62 eV/atom
excess energy over the best structure of this formula in the dataset: 187.5 meV per atom
symmetry: No. 127


Record 8
Material: MgBrCl2
Method: DFT, PBE
State: optimized geometry

Structure (POSCAR):
```
MgBrCl2
1.0
-1.818 2.717 7.055
1.818 -2.717 7.055
1.818 2.717 -7.055
Mg Br Cl
1 1 2
direct
0.000 0.000 0.000 Mg
0.134 0.634 0.500 Br
0.607 0.607 0.000 Cl
0.890 0.390 0.500 Cl
```

DOS(E_F): 0.51 states/eV per cell
magnetic moment: 0.00 μB/cell
formation energy without anion corrections: -1.02 eV per atom
calculated total energy: -2.76 eV/atom
excess energy over the best structure of this formula in the dataset: 164.0 meV per atom
symmetry: No. 44


Please write out number 4 again, unchanged.
Material: Tb2PmPr8
Method: DFT, PBE
State: optimized geometry

Structure (POSCAR):
```
Tb2PmPr8
1.0
8.572 -3.437 0.000
8.572 3.437 0.000
-1.180 0.000 6.676
Tb Pm Pr
2 1 8
direct
0.198 0.198 0.309 Tb
0.802 0.802 0.691 Tb
0.000 0.000 0.500 Pm
0.174 0.651 0.091 Pr
0.245 0.245 0.820 Pr
0.349 0.826 0.909 Pr
0.405 0.405 0.584 Pr
0.595 0.595 0.416 Pr
0.651 0.174 0.091 Pr
0.755 0.755 0.180 Pr
0.826 0.349 0.909 Pr
```

DOS(E_F): 18.38 states/eV per cell
magnetic moment: 0.00 μB/cell
calculated total energy: -4.59 eV/atom
energy of formation from the pure elements: 0.16 eV/atom
symmetry: No. 12


Which value of magnetic moment does entry 8 give? 0.00 μB/cell


Among the records above, which one has the highest calculated total energy? MgBrCl2


What did the sixth record say?
Material: ReH2W
Method: DFT, PBE
State: optimized geometry

Structure (POSCAR):
```
ReH2W
1.0
0.000 2.676 2.676
2.676 0.000 2.676
2.676 2.676 0.000
Re H W
1 2 1
direct
0.000 0.000 0.000 Re
0.250 0.250 0.250 H
0.750 0.750 0.750 H
0.500 0.500 0.500 W
```

DOS(E_F): 1.72 states/eV per cell
magnetic moment: 0.00 μB/cell
calculated total energy: -6.99 eV/atom
excess energy over the best structure of this formula in the dataset: 715.3 meV per atom
symmetry: No. 225